1.
TmU2Mn2 | Alexandria via LeMat-Bulk | GGA-PBE | optimized geometry; crystal system = orthorhombic; space-group type = Cmcm (63); energy relative to the elements = 0.1975 eV per atom; final energy = -8.8799 eV/atom; total moment = 0.00 μB per atom
1.0
5.696 -0.958 -0.400
-3.849 4.307 -0.400
0.916 1.661 9.071
U Mn Tm
4 4 2
Direct
0.326 0.674 0.517 U
0.326 0.674 0.983 U
0.674 0.326 0.017 U
0.674 0.326 0.483 U
0.210 0.790 0.250 Mn
0.790 0.210 0.750 Mn
0.403 0.597 0.750 Mn
0.597 0.403 0.250 Mn
0.084 0.916 0.750 Tm
0.916 0.084 0.250 Tm

---

2.
TmUMn4 | Alexandria via LeMat-Bulk | GGA-PBE | optimized geometry; crystal system = cubic; space-group type = F-43m (216); energy relative to the elements = 0.1045 eV per atom; final energy = -8.6352 eV/atom; total moment = 0.91 μB per atom
1.0
-0.215 -4.815 1.591
4.216 -2.338 1.589
0.603 -1.075 4.924
Mn Tm U
4 1 1
Direct
0.624 0.624 0.128 Mn
0.624 0.128 0.624 Mn
0.624 0.624 0.624 Mn
0.128 0.624 0.624 Mn
0.000 0.000 0.000 Tm
0.250 0.250 0.250 U

---

3.
TmU2Mn | Alexandria via LeMat-Bulk | GGA-PBE | optimized geometry; crystal system = trigonal; space-group type = R-3m (166); energy relative to the elements = 0.4219 eV per atom; final energy = -8.6325 eV/atom; total moment = 0.35 μB per atom
1.0
-0.032 -2.904 1.772
2.906 -1.277 1.225
-0.169 3.126 8.385
Tm Mn U
1 1 2
Direct
0.500 0.500 0.500 Tm
0.000 0.000 0.000 Mn
0.271 0.271 0.187 U
0.729 0.729 0.813 U

---

4.
Tm2UMn2 | Alexandria via LeMat-Bulk | GGA-PBE | optimized geometry; crystal system = monoclinic; space-group type = C2/c (15); energy relative to the elements = -0.0809 eV per atom; final energy = -7.7950 eV/atom; total moment = 0.00 μB per atom
1.0
-3.140 0.821 4.496
-4.941 -2.508 0.209
1.958 -6.082 3.900
U Tm Mn
2 4 4
Direct
0.105 0.895 0.250 U
0.895 0.105 0.750 U
0.236 0.461 0.650 Tm
0.764 0.539 0.350 Tm
0.461 0.236 0.150 Tm
0.539 0.764 0.850 Tm
0.763 0.997 0.510 Mn
0.237 0.003 0.490 Mn
0.997 0.763 0.010 Mn
0.003 0.237 0.990 Mn

---

5.
TmUMn17 | Alexandria via LeMat-Bulk | GGA-PBE | optimized geometry; crystal system = trigonal; space-group type = R3m (160); energy relative to the elements = 0.0244 eV per atom; final energy = -9.0094 eV/atom; total moment = 0.21 μB per atom
1.0
-4.612 2.478 -3.437
1.874 -2.761 -5.300
-3.783 -4.939 0.719
Mn U Tm
17 1 1
Direct
0.501 0.994 0.994 Mn
0.724 0.000 0.273 Mn
0.636 0.636 0.136 Mn
0.724 0.273 0.000 Mn
0.636 0.136 0.636 Mn
0.103 0.103 0.103 Mn
0.900 0.900 0.900 Mn
0.887 0.359 0.359 Mn
0.273 0.724 0.000 Mn
0.994 0.501 0.994 Mn
0.000 0.273 0.724 Mn
0.359 0.359 0.887 Mn
0.273 0.000 0.724 Mn
0.000 0.724 0.273 Mn
0.994 0.994 0.501 Mn
0.359 0.887 0.359 Mn
0.136 0.636 0.636 Mn
0.355 0.355 0.355 U
0.648 0.648 0.648 Tm

---

6.
TmU2Mn9 | Alexandria via LeMat-Bulk | GGA-PBE | optimized geometry; crystal system = tetragonal; space-group type = P4/mbm (127); energy relative to the elements = 0.0423 eV per atom; final energy = -9.0889 eV/atom; total moment = 0.37 μB per atom
1.0
-3.486 0.780 -3.610
-5.603 -3.951 4.558
-2.108 7.111 3.573
Mn U Tm
18 4 2
Direct
0.500 0.000 0.500 Mn
0.752 0.185 0.685 Mn
0.752 0.815 0.315 Mn
0.752 0.315 0.185 Mn
0.500 0.568 0.294 Mn
0.248 0.185 0.685 Mn
0.248 0.815 0.315 Mn
0.248 0.315 0.185 Mn
0.500 0.294 0.432 Mn
0.500 0.794 0.068 Mn
0.752 0.685 0.815 Mn
0.500 0.706 0.568 Mn
0.248 0.685 0.815 Mn
0.500 0.500 0.000 Mn
0.500 0.068 0.206 Mn
0.500 0.432 0.706 Mn
0.500 0.932 0.794 Mn
0.500 0.206 0.932 Mn
0.000 0.388 0.888 U
0.000 0.112 0.388 U
0.000 0.612 0.112 U
0.000 0.888 0.612 U
0.000 0.500 0.500 Tm
0.000 0.000 0.000 Tm

---

7.
TmMn10V2 | Alexandria via LeMat-Bulk | GGA-PBE | optimized geometry; crystal system = orthorhombic; space-group type = Cmcm (63); energy relative to the elements = -0.0116 eV per atom; final energy = -8.8120 eV/atom; total moment = 0.13 μB per atom
1.0
-0.134 -5.506 3.220
-1.816 -2.300 -5.668
7.712 -1.320 -1.936
Mn V Tm
20 4 2
Direct
0.259 0.478 0.750 Mn
0.598 0.402 0.925 Mn
0.741 0.522 0.250 Mn
0.873 0.629 0.750 Mn
0.774 0.774 0.500 Mn
0.371 0.127 0.750 Mn
0.522 0.741 0.750 Mn
0.173 0.827 0.608 Mn
0.827 0.173 0.108 Mn
0.226 0.226 0.500 Mn
0.774 0.774 0.000 Mn
0.173 0.827 0.892 Mn
0.827 0.173 0.392 Mn
0.402 0.598 0.075 Mn
0.598 0.402 0.575 Mn
0.478 0.259 0.250 Mn
0.629 0.873 0.250 Mn
0.402 0.598 0.425 Mn
0.226 0.226 0.000 Mn
0.127 0.371 0.250 Mn
0.500 0.000 0.500 V
0.500 0.000 0.000 V
0.000 0.500 0.500 V
0.000 0.500 0.000 V
0.123 0.877 0.250 Tm
0.877 0.123 0.750 Tm

---

8.
TmMn2V | Alexandria via LeMat-Bulk | GGA-PBE | optimized geometry; crystal system = trigonal; space-group type = R-3m (166); energy relative to the elements = 0.4229 eV per atom; final energy = -7.5594 eV/atom; total moment = 0.87 μB per atom
1.0
3.034 0.000 0.000
1.517 2.628 0.000
1.517 0.876 8.238
Tm Mn V
1 2 1
Direct
0.500 0.500 0.500 Tm
0.263 0.263 0.212 Mn
0.737 0.737 0.788 Mn
0.000 0.000 0.000 V

---

9.
TmMnV | Alexandria via LeMat-Bulk | GGA-PBE | optimized geometry; crystal system = orthorhombic; E above lowest polymorph = 0 meV/atom; space-group type = Fmmm (69); energy relative to the elements = 0.2421 eV per atom; final energy = -7.3445 eV/atom; total moment = 0.15 μB per atom
1.0
4.793 0.402 0.000
-1.943 4.401 0.000
-1.425 -2.401 4.879
Mn V Tm
2 2 2
Direct
0.250 0.750 0.500 Mn
0.750 0.250 0.500 Mn
0.816 0.816 0.633 V
0.184 0.184 0.367 V
0.314 0.686 0.000 Tm
0.686 0.314 0.000 Tm

---

10.
TmMnV | Alexandria via LeMat-Bulk | GGA-PBE | optimized geometry; crystal system = hexagonal; E above lowest polymorph = 29 meV/atom; space-group type = P-6m2 (187); energy relative to the elements = 0.2707 eV per atom; final energy = -7.3159 eV/atom; total moment = 0.00 μB per atom
1.0
3.722 0.000 0.000
-1.861 3.224 0.000
0.000 0.000 4.637
V Mn Tm
1 1 1
Direct
0.667 0.333 0.500 V
0.333 0.667 0.500 Mn
0.000 0.000 0.000 Tm

---

11.
TmMn4V | Alexandria via LeMat-Bulk | GGA-PBE | optimized geometry; crystal system = cubic; space-group type = F-43m (216); energy relative to the elements = 0.0525 eV per atom; final energy = -8.3255 eV/atom; total moment = 0.49 μB per atom
1.0
-4.785 -0.610 0.826
-1.552 -1.519 4.385
-2.386 3.086 2.955
Mn Tm V
4 1 1
Direct
0.624 0.624 0.127 Mn
0.624 0.624 0.624 Mn
0.127 0.624 0.624 Mn
0.624 0.127 0.624 Mn
0.000 0.000 0.000 Tm
0.250 0.250 0.250 V

---

12.
TmMn4W | Alexandria via LeMat-Bulk | GGA-PBE | optimized geometry; crystal system = cubic; space-group type = F-43m (216); energy relative to the elements = 0.0845 eV per atom; final energy = -8.9326 eV/atom; total moment = 0.63 μB per atom
1.0
4.905 0.000 0.000
2.453 4.248 0.000
2.453 1.416 4.005
Mn W Tm
4 1 1
Direct
0.625 0.124 0.625 Mn
0.625 0.625 0.625 Mn
0.124 0.625 0.625 Mn
0.625 0.625 0.124 Mn
0.000 0.000 0.000 W
0.250 0.250 0.250 Tm

---

13.
TmMn2W | Alexandria via LeMat-Bulk | GGA-PBE | optimized geometry; crystal system = tetragonal; space-group type = P4/mmm (123); energy relative to the elements = 0.1558 eV per atom; final energy = -8.7852 eV/atom; total moment = 0.15 μB per atom
1.0
-3.059 -0.302 0.265
-0.024 -1.897 -2.433
0.850 -5.117 3.981
Tm Mn W
1 2 1
Direct
0.500 0.500 0.500 Tm
0.000 0.000 0.211 Mn
0.000 0.000 0.789 Mn
0.500 0.500 0.000 W

---

14.
YTmMn | Alexandria via LeMat-Bulk | GGA-PBE | optimized geometry; crystal system = tetragonal; space-group type = I4mm (107); energy relative to the elements = 0.1339 eV per atom; final energy = -6.5678 eV/atom; total moment = 0.88 μB per atom
1.0
-3.057 -0.328 1.596
-0.405 -3.135 -1.419
4.601 -0.885 4.871
Mn Tm Y
1 1 1
Direct
0.669 0.669 0.338 Mn
0.302 0.302 0.605 Tm
0.028 0.028 0.057 Y

---

15.
YTmMn2 | Alexandria via LeMat-Bulk | GGA-PBE | optimized geometry; crystal system = tetragonal; space-group type = P4/mmm (123); energy relative to the elements = 0.1960 eV per atom; final energy = -7.1227 eV/atom; total moment = 1.56 μB per atom
1.0
3.561 0.000 0.000
0.000 3.561 0.000
0.000 0.000 6.802
Y Mn Tm
1 2 1
Direct
0.500 0.500 0.500 Y
0.000 0.000 0.767 Mn
0.000 0.000 0.233 Mn
0.500 0.500 0.000 Tm

---

16.
YTmMn4 | Alexandria via LeMat-Bulk | GGA-PBE | optimized geometry; crystal system = cubic; space-group type = F-43m (216); energy relative to the elements = 0.1135 eV per atom; final energy = -7.8221 eV/atom; total moment = 0.24 μB per atom
1.0
-3.207 -3.843 -0.906
-1.773 -2.797 3.861
-4.880 0.379 1.384
Tm Mn Y
1 4 1
Direct
0.000 0.000 0.000 Tm
0.625 0.124 0.625 Mn
0.625 0.625 0.625 Mn
0.124 0.625 0.625 Mn
0.625 0.625 0.124 Mn
0.250 0.250 0.250 Y

---

17.
Tm2Mn2Zn15 | Alexandria via LeMat-Bulk | GGA-PBE | optimized geometry; crystal system = trigonal; space-group type = R-3m (166); energy relative to the elements = -0.1451 eV per atom; final energy = -2.5867 eV/atom; total moment = 0.37 μB per atom
1.0
6.703 -0.005 0.871
0.765 6.659 0.871
-0.006 -0.005 6.760
Zn Tm Mn
15 2 2
Direct
0.711 0.000 0.289 Zn
0.000 0.000 0.500 Zn
0.500 0.000 0.000 Zn
0.000 0.711 0.289 Zn
0.711 0.289 0.000 Zn
0.355 0.846 0.355 Zn
0.645 0.645 0.154 Zn
0.000 0.289 0.711 Zn
0.355 0.355 0.846 Zn
0.289 0.000 0.711 Zn
0.645 0.154 0.645 Zn
0.154 0.645 0.645 Zn
0.846 0.355 0.355 Zn
0.000 0.500 0.000 Zn
0.289 0.711 0.000 Zn
0.665 0.665 0.665 Tm
0.335 0.335 0.335 Tm
0.100 0.100 0.100 Mn
0.900 0.900 0.900 Mn

---

18.
Tm5MnZn4 | Alexandria via LeMat-Bulk | GGA-PBE | optimized geometry; crystal system = tetragonal; space-group type = P4/mmm (123); energy relative to the elements = -0.2499 eV per atom; final energy = -3.9122 eV/atom; total moment = 0.26 μB per atom
1.0
-1.497 3.154 -0.284
-1.184 -0.266 3.286
14.787 7.554 5.938
Tm Zn Mn
5 4 1
Direct
0.500 0.500 0.903 Tm
0.500 0.500 0.701 Tm
0.500 0.500 0.097 Tm
0.500 0.500 0.299 Tm
0.500 0.500 0.500 Tm
0.000 0.000 0.601 Zn
0.000 0.000 0.399 Zn
0.000 0.000 0.801 Zn
0.000 0.000 0.199 Zn
0.000 0.000 0.000 Mn

---

19.
TmMnZn11 | Alexandria via LeMat-Bulk | GGA-PBE | optimized geometry; crystal system = monoclinic; space-group type = C2/m (12); energy relative to the elements = -0.1325 eV per atom; final energy = -2.2597 eV/atom; total moment = 0.25 μB per atom
1.0
4.838 0.041 2.016
2.413 6.256 1.005
0.022 0.020 6.761
Zn Tm Mn
11 1 1
Direct
0.015 0.647 0.347 Zn
0.638 0.353 0.347 Zn
0.000 0.500 0.000 Zn
0.503 0.218 0.783 Zn
0.362 0.647 0.653 Zn
0.985 0.353 0.653 Zn
0.497 0.782 0.217 Zn
0.500 0.000 0.500 Zn
0.286 0.218 0.217 Zn
0.714 0.782 0.783 Zn
0.000 0.000 0.500 Zn
0.000 0.000 0.000 Tm
0.500 0.500 0.000 Mn

---

20.
Tm4MnZn3 | Alexandria via LeMat-Bulk | GGA-PBE | optimized geometry; crystal system = tetragonal; space-group type = P4/mmm (123); energy relative to the elements = -0.2245 eV per atom; final energy = -4.0842 eV/atom; total moment = 0.34 μB per atom
1.0
3.497 0.000 0.000
0.000 3.497 0.000
0.000 0.000 14.124
Zn Tm Mn
3 4 1
Direct
0.500 0.500 0.249 Zn
0.500 0.500 0.500 Zn
0.500 0.500 0.751 Zn
0.000 0.000 0.626 Tm
0.000 0.000 0.122 Tm
0.000 0.000 0.374 Tm
0.000 0.000 0.878 Tm
0.500 0.500 0.000 Mn